# 1
This record from Alexandria via LeMat-Bulk describes a relaxed structure of NaCd5Au2. The functional is GGA-PBE.

Structure (POSCAR):
```
NaCd5Au2
1.0
-0.969 -3.746 -0.695
6.190 -3.722 0.310
-0.164 -3.220 6.471
Na Cd Au
1 5 2
Cartesian
0.000 0.000 0.000 Na
3.013 -3.471 3.390 Cd
2.829 -4.991 0.719 Cd
2.228 -5.697 5.367 Cd
4.823 -5.902 2.850 Cd
0.234 -4.786 3.236 Cd
3.904 -8.067 4.683 Au
1.153 -2.621 1.403 Au
```


# 2
This record from Alexandria via LeMat-Bulk describes a relaxed structure of NaCd2Au2. The functional is GGA-PBE.

Structure (POSCAR):
```
NaCd2Au2
1.0
-1.908 -2.938 -2.147
-1.049 -1.878 3.501
-10.141 9.656 -0.269
Na Cd Au
2 4 4
Cartesian
-4.127 -0.755 0.770 Na
-8.971 5.596 0.315 Na
-0.524 -0.939 1.750 Cd
-4.091 2.552 0.143 Cd
-0.954 -1.469 -1.074 Cd
-9.007 2.289 0.941 Cd
-6.764 2.155 -0.870 Au
-11.324 3.735 1.022 Au
-1.773 1.106 0.062 Au
-6.334 2.685 1.954 Au
```

Its distance to the lowest polymorph of the same formula is 0.064 eV/atom.


# 3
This record from Alexandria via LeMat-Bulk describes a relaxed structure of Na2Cd5Au3. The functional is GGA-PBE.

Structure (POSCAR):
```
Na2Cd5Au3
1.0
4.531 0.000 -0.772
0.000 7.387 0.000
0.037 0.000 13.902
Na Cd Au
4 10 6
Cartesian
2.212 5.783 12.987 Na
0.812 5.156 4.769 Na
3.755 1.463 8.362 Na
2.356 2.090 0.144 Na
1.834 3.058 10.766 Cd
1.353 3.572 7.944 Cd
3.215 7.266 5.186 Cd
0.566 1.941 3.320 Cd
1.352 6.652 7.939 Cd
4.326 0.814 11.711 Cd
3.216 2.958 5.192 Cd
4.002 5.634 9.810 Cd
0.242 4.508 1.419 Cd
2.734 6.752 2.364 Cd
3.519 5.103 6.972 Au
2.771 3.844 2.584 Au
0.210 0.013 1.234 Au
1.049 1.409 6.159 Au
4.358 3.707 11.897 Au
1.797 0.150 10.547 Au
```


# 4
This record from Alexandria via LeMat-Bulk describes a relaxed structure of NaCd2Au. The functional is GGA-PBE.

Structure (POSCAR):
```
NaCd2Au
1.0
-2.043 -0.096 4.378
-0.888 -4.231 2.160
3.361 -1.318 4.206
Na Cd Au
1 2 1
Cartesian
0.357 -2.818 5.438 Na
2.742 -1.336 3.917 Cd
-0.192 -1.420 2.546 Cd
1.100 -4.211 8.421 Au
```

Its distance to the lowest polymorph of the same formula is 0.072 eV/atom.


How do the records compare in energy relative to the elements? In the order shown, they have -0.1590; -0.1829; -0.2334; -0.1788 eV per atom.
How do the records compare in total magnetic moment? In the order shown, they have 0.0; 0.0; 0.0; 0.0 μB/cell.